DFT (meta-GGA SCAN) results for NiPdSe2N at its PBEsol-relaxed geometry.

Cell lengths 3.5511, 5.0145, 5.0145 Å; angles 90.00, 90.00, 90.00 degrees
Site moments in Bohr magnetons follow the coordinates.
Element x y z (fractional)
Pd: 0.0000 0.0000 0.0000  0.01
Se: 0.0000 0.5000 0.0000  0.15
Se: 0.0000 0.0000 0.5000  0.15
N: 0.5000 0.0000 0.0000  0.03
Ni: 0.5000 0.5000 0.5000  1.23

Summary:
* magnetization: 1.67 μB per formula unit
* D(E_F): 0.81 states/eV per atom
* DFT total energy: -18.682 eV per atom